The following is a GGA-PBE calculation of a relaxed structure of SrAl2VTc, from Alexandria via LeMat-Bulk.

Cell lengths 4.9600, 4.9600, 4.4629 Å; angles 90.00, 90.00, 90.00 degrees
Space group P4/mmm (No. 123)
One atom of each set of equivalent atoms:
Sr: 0.0000 0.0000 0.0000 (multiplicity 1)
Al: 0.0000 0.5000 0.5000 (multiplicity 2)
V: 0.5000 0.5000 0.5000 (multiplicity 1)
Tc: 0.5000 0.5000 0.0000 (multiplicity 1)

Formation energy from the elements   0.35 eV per atom
DOS at the Fermi energy   0.732 states/eV per atom


The following is a GGA-PBE calculation of a relaxed structure of SrAl2Te4, from Alexandria via LeMat-Bulk.

Cell lengths 6.7768, 11.8797, 11.9153 Å; angles 90.00, 90.00, 90.00 degrees
Space group Cccm (No. 66)
One atom of each set of equivalent atoms:
Sr: 0.0000 0.0000 0.2500 (multiplicity 4)
Al: 0.0014 0.2580 0.0000 (multiplicity 8)
Te: 0.2361 0.0785 0.5000 (multiplicity 8)
Te: 0.2500 0.2500 0.1721 (multiplicity 8)

Energy relative to the elements, uncorrected   -82 kJ/mol of atoms
DOS at the Fermi energy   0.000 states/eV per atom


The following is a GGA-PBE calculation of a relaxed structure of SrAl2Te4, from Alexandria via LeMat-Bulk.

Cell lengths 8.4127, 8.4127, 6.7286 Å; angles 90.00, 90.00, 90.00 degrees
Space group I422 (No. 97)
One atom of each set of equivalent atoms:
Sr: 0.0000 0.0000 0.0000 (multiplicity 2)
Al: 0.0000 0.5000 0.0000 (multiplicity 4)
Te: 0.1726 0.3274 0.2500 (multiplicity 8)

Energy relative to the elements, uncorrected   -81 kJ/mol of atoms
DOS at the Fermi energy   0.000 states/eV per atom


The following is a GGA-PBE calculation of a relaxed structure of Sr2AlTe, from Alexandria via LeMat-Bulk.

Cell lengths 12.4692, 4.2604, 5.2938 Å; angles 90.00, 101.18, 90.00 degrees
Space group Cm (No. 8)
One atom of each set of equivalent atoms:
Sr: 0.0000 0.0000 0.0000 (multiplicity 2)
Sr: 0.2353 0.5000 0.5257 (multiplicity 2)
Al: 0.2721 0.0000 0.0510 (multiplicity 2)
Te: 0.4572 0.0000 0.4681 (multiplicity 2)

Energy relative to the elements, uncorrected   -66 kJ/mol of atoms
DOS at the Fermi energy   0.579 states/eV per atom
E above lowest polymorph   0.039 eV/atom


The following is a GGA-PBE calculation of a relaxed structure of SrAlTe, from Alexandria via LeMat-Bulk.

Cell lengths 7.6512, 7.6512, 7.6512 Å; angles 90.00, 90.00, 90.00 degrees
Space group F-43m (No. 216)
One atom of each set of equivalent atoms:
Sr: 0.0000 0.0000 0.0000 (multiplicity 4)
Al: 0.2500 0.2500 0.7500 (multiplicity 4)
Te: 0.2500 0.2500 0.2500 (multiplicity 4)

Energy relative to the elements, uncorrected   -20 kJ/mol of atoms
DOS at the Fermi energy   0.752 states/eV per atom
E above lowest polymorph   0.320 eV/atom


The following is a GGA-PBE calculation of a relaxed structure of SrAlTe, from Alexandria via LeMat-Bulk.

Cell lengths 13.2517, 4.1457, 7.1785 Å; angles 90.00, 90.00, 90.00 degrees
Space group Amm2 (No. 38)
One atom of each set of equivalent atoms:
Sr: 0.1876 0.0000 0.0000 (multiplicity 4)
Al: 0.0000 0.0000 0.3331 (multiplicity 2)
Al: 0.5000 0.0000 0.0007 (multiplicity 2)
Te: 0.3641 0.0000 0.3338 (multiplicity 4)

Energy relative to the elements, uncorrected   -33 kJ/mol of atoms
DOS at the Fermi energy   0.863 states/eV per atom
E above lowest polymorph   0.180 eV/atom


The following is a GGA-PBE calculation of a relaxed structure of Sr4AlTe, from Alexandria via LeMat-Bulk.

Cell lengths 9.9147, 9.9147, 9.9147 Å; angles 90.00, 90.00, 90.00 degrees
Space group F-43m (No. 216)
One atom of each set of equivalent atoms:
Sr: 0.1251 0.1251 0.1251 (multiplicity 16)
Al: 0.0000 0.0000 0.5000 (multiplicity 4)
Te: 0.2500 0.2500 0.7500 (multiplicity 4)

Energy relative to the elements, uncorrected   22 kJ/mol of atoms
DOS at the Fermi energy   1.115 states/eV per atom


The following is a GGA-PBE calculation of a relaxed structure of SrAlTe3, from Alexandria via LeMat-Bulk.

Cell lengths 8.8941, 8.3373, 11.5376 Å; angles 90.00, 123.27, 90.00 degrees
Space group P2_1/c (No. 14)
One atom of each set of equivalent atoms:
Sr: 0.1632 0.2013 0.1562 (multiplicity 4)
Al: 0.4188 0.6640 0.9191 (multiplicity 4)
Te: 0.0906 0.6991 0.6999 (multiplicity 4)
Te: 0.3442 0.0914 0.9564 (multiplicity 4)
Te: 0.4021 0.5503 0.1281 (multiplicity 4)

Energy relative to the elements, uncorrected   -80 kJ/mol of atoms
E above lowest polymorph   0.000 eV/atom


The following is a GGA-PBE calculation of a relaxed structure of Sr2AlTe, from Alexandria via LeMat-Bulk.

Cell lengths 7.4394, 7.5214, 9.2710 Å; angles 90.00, 90.00, 90.00 degrees
Space group Fmmm (No. 69)
One atom of each set of equivalent atoms:
Sr: 0.2500 0.2500 0.2500 (multiplicity 8)
Al: 0.0000 0.0000 0.0000 (multiplicity 4)
Te: 0.0000 0.0000 0.5000 (multiplicity 4)

Energy relative to the elements, uncorrected   -55 kJ/mol of atoms
DOS at the Fermi energy   0.538 states/eV per atom
E above lowest polymorph   0.152 eV/atom


The following is a GGA-PBE calculation of a relaxed structure of Sr2AlTe, from Alexandria via LeMat-Bulk.

Cell lengths 4.0864, 4.0864, 7.8578 Å; angles 90.00, 90.00, 90.00 degrees
Space group P4/mmm (No. 123)
One atom of each set of equivalent atoms:
Sr: 0.0000 0.0000 0.2482 (multiplicity 2)
Al: 0.5000 0.5000 0.5000 (multiplicity 1)
Te: 0.5000 0.5000 0.0000 (multiplicity 1)

Energy relative to the elements, uncorrected   -69 kJ/mol of atoms
DOS at the Fermi energy   0.539 states/eV per atom
E above lowest polymorph   0.000 eV/atom


The following is a GGA-PBE calculation of a relaxed structure of SrAlTe, from Alexandria via LeMat-Bulk.

Cell lengths 5.5194, 5.5418, 11.4252 Å; angles 90.00, 90.00, 90.00 degrees
Space group Fmm2 (No. 42)
One atom of each set of equivalent atoms:
Sr: 0.0000 0.0000 0.0000 (multiplicity 4)
Al: 0.0000 0.0000 0.3046 (multiplicity 4)
Te: 0.0000 0.0000 0.6952 (multiplicity 4)

Energy relative to the elements, uncorrected   -47 kJ/mol of atoms
DOS at the Fermi energy   0.650 states/eV per atom
E above lowest polymorph   0.033 eV/atom


The following is a GGA-PBE calculation of a relaxed structure of Sr2AlTe, from Alexandria via LeMat-Bulk.

Cell lengths 4.2210, 5.1869, 12.1020 Å; angles 90.00, 90.00, 90.00 degrees
Space group Imm2 (No. 44)
One atom of each set of equivalent atoms:
Sr: 0.0000 0.0000 0.0000 (multiplicity 2)
Sr: 0.0000 0.5000 0.2295 (multiplicity 2)
Al: 0.0000 0.0000 0.4594 (multiplicity 2)
Te: 0.0000 0.5000 0.7558 (multiplicity 2)

Energy relative to the elements, uncorrected   -55 kJ/mol of atoms
DOS at the Fermi energy   0.579 states/eV per atom
E above lowest polymorph   0.148 eV/atom


The following is a GGA-PBE calculation of a relaxed structure of SrAl4Te7, from Alexandria via LeMat-Bulk.

Cell lengths 17.1831, 7.1948, 7.0091 Å; angles 90.00, 90.00, 90.00 degrees
Space group Pmn2_1 (No. 31)
One atom of each set of equivalent atoms:
Sr: 0.0000 0.0848 0.0000 (multiplicity 2)
Al: 0.1215 0.6540 0.7723 (multiplicity 4)
Al: 0.2500 0.1642 0.7589 (multiplicity 4)
Te: 0.0000 0.8203 0.6164 (multiplicity 2)
Te: 0.1140 0.7124 0.1432 (multiplicity 4)
Te: 0.1155 0.3046 0.6611 (multiplicity 4)
Te: 0.2461 0.1915 0.1451 (multiplicity 4)

Energy relative to the elements, uncorrected   -61 kJ/mol of atoms
DOS at the Fermi energy   0.000 states/eV per atom


The following is a GGA-PBE calculation of a relaxed structure of SrAlTe3, from Alexandria via LeMat-Bulk.

Cell lengths 6.1663, 6.1663, 6.1663 Å; angles 90.00, 90.00, 90.00 degrees
Space group Pm-3m (No. 221)
One atom of each set of equivalent atoms:
Sr: 0.0000 0.0000 0.0000 (multiplicity 1)
Al: 0.5000 0.5000 0.5000 (multiplicity 1)
Te: 0.0000 0.0000 0.5000 (multiplicity 3)

Energy relative to the elements, uncorrected   26 kJ/mol of atoms
DOS at the Fermi energy   1.386 states/eV per atom
E above lowest polymorph   1.094 eV/atom


The following is a GGA-PBE calculation of a relaxed structure of Sr2AlTe, from Alexandria via LeMat-Bulk.

Cell lengths 7.2633, 8.9226, 3.9976 Å; angles 90.00, 90.00, 90.00 degrees
Space group Cmmm (No. 65)
One atom of each set of equivalent atoms:
Sr: 0.2500 0.2500 0.0000 (multiplicity 4)
Al: 0.0000 0.0000 0.5000 (multiplicity 2)
Te: 0.0000 0.5000 0.5000 (multiplicity 2)

Energy relative to the elements, uncorrected   -63 kJ/mol of atoms
DOS at the Fermi energy   0.517 states/eV per atom
E above lowest polymorph   0.068 eV/atom


The following is a GGA-PBE calculation of a relaxed structure of SrAl2Te2, from Alexandria via LeMat-Bulk.

Cell lengths 4.0342, 4.0342, 17.4918 Å; angles 90.00, 90.00, 90.00 degrees
Space group I4/mmm (No. 139)
One atom of each set of equivalent atoms:
Sr: 0.0000 0.0000 0.0000 (multiplicity 2)
Al: 0.0000 0.5000 0.2500 (multiplicity 4)
Te: 0.0000 0.0000 0.3925 (multiplicity 4)

Energy relative to the elements, uncorrected   -42 kJ/mol of atoms
DOS at the Fermi energy   0.421 states/eV per atom
E above lowest polymorph   0.055 eV/atom


The following is a GGA-PBE calculation of a relaxed structure of SrAl2Te2, from Alexandria via LeMat-Bulk.

Cell lengths 5.6120, 5.6120, 9.0606 Å; angles 90.00, 90.00, 90.00 degrees
Space group I4/mmm (No. 139)
One atom of each set of equivalent atoms:
Sr: 0.0000 0.0000 0.0000 (multiplicity 2)
Al: 0.0000 0.0000 0.3536 (multiplicity 4)
Te: 0.0000 0.5000 0.2500 (multiplicity 4)

Energy relative to the elements, uncorrected   -47 kJ/mol of atoms
DOS at the Fermi energy   0.401 states/eV per atom
E above lowest polymorph   0.000 eV/atom


The following is a GGA-PBE calculation of a relaxed structure of Sr2AlTe, from Alexandria via LeMat-Bulk.

Cell lengths 4.4867, 4.4867, 26.0596 Å; angles 90.00, 90.00, 120.00 degrees
Space group R-3m (No. 166, hexagonal axes)
One atom of each set of equivalent atoms:
Sr: 0.0000 0.0000 0.2449 (multiplicity 6)
Al: 0.0000 0.0000 0.0000 (multiplicity 3)
Te: 0.0000 0.0000 0.5000 (multiplicity 3)

Energy relative to the elements, uncorrected   -65 kJ/mol of atoms
DOS at the Fermi energy   0.493 states/eV per atom
E above lowest polymorph   0.047 eV/atom


The following is a GGA-PBE calculation of a relaxed structure of Sr2AlTe4, from Alexandria via LeMat-Bulk.

Cell lengths 8.0311, 6.6594, 9.4329 Å; angles 90.00, 107.17, 90.00 degrees
Space group P2_1/m (No. 11)
One atom of each set of equivalent atoms:
Sr: 0.2366 0.2500 0.4354 (multiplicity 2)
Sr: 0.2458 0.2500 0.9355 (multiplicity 2)
Al: 0.2369 0.7500 0.1844 (multiplicity 2)
Te: 0.0795 0.7500 0.3881 (multiplicity 2)
Te: 0.0831 0.7500 0.9021 (multiplicity 2)
Te: 0.4960 0.5076 0.7453 (multiplicity 4)

Energy relative to the elements, uncorrected   -106 kJ/mol of atoms
DOS at the Fermi energy   0.264 states/eV per atom


The following is a GGA-PBE calculation of a relaxed structure of SrAlTe, from Alexandria via LeMat-Bulk.

Cell lengths 5.0381, 5.0381, 4.2132 Å; angles 90.00, 90.00, 120.00 degrees
Space group P-6m2 (No. 187)
One atom of each set of equivalent atoms:
Sr: 0.0000 0.0000 0.0000 (multiplicity 1)
Al: 0.3333 0.6667 0.5000 (multiplicity 1)
Te: 0.6667 0.3333 0.5000 (multiplicity 1)

Energy relative to the elements, uncorrected   -50 kJ/mol of atoms
DOS at the Fermi energy   0.469 states/eV per atom
E above lowest polymorph   0.000 eV/atom


The following is a GGA-PBE calculation of a relaxed structure of Sr2AlTe, from Alexandria via LeMat-Bulk.

Cell lengths 8.7848, 8.7848, 7.8865 Å; angles 90.00, 90.00, 90.00 degrees
Space group I-42d (No. 122)
One atom of each set of equivalent atoms:
Sr: 0.2437 0.2500 0.1250 (multiplicity 8)
Al: 0.0000 0.0000 0.5000 (multiplicity 4)
Te: 0.0000 0.0000 0.0000 (multiplicity 4)

Energy relative to the elements, uncorrected   -46 kJ/mol of atoms
DOS at the Fermi energy   0.548 states/eV per atom
E above lowest polymorph   0.245 eV/atom


The following is a GGA-PBE calculation of a relaxed structure of SrAlTe3, from Alexandria via LeMat-Bulk.

Cell lengths 5.4527, 5.4527, 5.4527 Å; angles 90.00, 90.00, 90.00 degrees
Space group Pm-3m (No. 221)
One atom of each set of equivalent atoms:
Sr: 0.0000 0.0000 0.0000 (multiplicity 1)
Al: 0.5000 0.5000 0.5000 (multiplicity 1)
Te: 0.0000 0.5000 0.5000 (multiplicity 3)

Energy relative to the elements, uncorrected   -55 kJ/mol of atoms
DOS at the Fermi energy   0.576 states/eV per atom
E above lowest polymorph   0.255 eV/atom


The following is a GGA-PBE calculation of a relaxed structure of SrAlTe, from Alexandria via LeMat-Bulk.

Cell lengths 7.6375, 7.6375, 7.6375 Å; angles 90.00, 90.00, 90.00 degrees
Space group F-43m (No. 216)
One atom of each set of equivalent atoms:
Sr: 0.0000 0.0000 0.0000 (multiplicity 4)
Al: 0.0000 0.0000 0.5000 (multiplicity 4)
Te: 0.2500 0.2500 0.7500 (multiplicity 4)

Energy relative to the elements, uncorrected   -33 kJ/mol of atoms
DOS at the Fermi energy   0.622 states/eV per atom
E above lowest polymorph   0.178 eV/atom


The following is a GGA-PBE calculation of a relaxed structure of Sr2AlTe, from Alexandria via LeMat-Bulk.

Cell lengths 8.0296, 8.0296, 8.0296 Å; angles 90.00, 90.00, 90.00 degrees
Space group F-43m (No. 216)
One atom of each set of equivalent atoms:
Sr: 0.0000 0.0000 0.0000 (multiplicity 4)
Sr: 0.2500 0.2500 0.2500 (multiplicity 4)
Al: 0.0000 0.0000 0.5000 (multiplicity 4)
Te: 0.2500 0.2500 0.7500 (multiplicity 4)

Energy relative to the elements, uncorrected   -15 kJ/mol of atoms
DOS at the Fermi energy   0.850 states/eV per atom
E above lowest polymorph   0.562 eV/atom


The following is a GGA-PBE calculation of a relaxed structure of Sr2AlTe, from Alexandria via LeMat-Bulk.

Cell lengths 8.0925, 8.0925, 8.0925 Å; angles 90.00, 90.00, 90.00 degrees
Space group Fm-3m (No. 225)
One atom of each set of equivalent atoms:
Sr: 0.2500 0.2500 0.2500 (multiplicity 8)
Al: 0.0000 0.0000 0.0000 (multiplicity 4)
Te: 0.0000 0.0000 0.5000 (multiplicity 4)

Energy relative to the elements, uncorrected   -51 kJ/mol of atoms
DOS at the Fermi energy   1.047 states/eV per atom
E above lowest polymorph   0.195 eV/atom


The following is a GGA-PBE calculation of a relaxed structure of Sr2AlTe, from Alexandria via LeMat-Bulk.

Cell lengths 3.9763, 3.9763, 8.9259 Å; angles 90.00, 90.00, 90.00 degrees
Space group P4mm (No. 99)
One atom of each set of equivalent atoms:
Sr: 0.0000 0.0000 0.0000 (multiplicity 1)
Sr: 0.5000 0.5000 0.3753 (multiplicity 1)
Al: 0.5000 0.5000 0.7571 (multiplicity 1)
Te: 0.0000 0.0000 0.6149 (multiplicity 1)

Energy relative to the elements, uncorrected   -36 kJ/mol of atoms
DOS at the Fermi energy   0.814 states/eV per atom
E above lowest polymorph   0.344 eV/atom


The following total moment values (in Bohr magnetons per cell) correspond, in order, to the records above: 0.000 0.000 0.000 0.000 3.451 0.880 0.003 0.000 0.000 0.000 0.000 0.000 0.000 0.000 0.000 0.000 0.000 2.249 0.000 0.000 0.000 0.000 0.001 0.000 0.000 0.000.